Record 1
# Cs2MoI4Br2 | Alexandria via LeMat-Bulk | PBE-GGA | optimized geometry
data_Cs2MoI4Br2
_chemical_formula_sum 'Cs4 Mo2 I8 Br4'
_symmetry_space_group_name_H-M 'C 1 2/m 1'
_symmetry_Int_Tables_number 12
_cell_length_a 13.958
_cell_length_b 8.109
_cell_length_c 6.940
_cell_angle_alpha 90.00
_cell_angle_beta 97.27
_cell_angle_gamma 90.00
loop_
_symmetry_equiv_pos_as_xyz
'x,y,z'
'-x,-y,-z'
'-x,y,-z'
'x,-y,z'
'x+1/2,y+1/2,z'
'-x+1/2,-y+1/2,-z'
'-x+1/2,y+1/2,-z'
'x+1/2,-y+1/2,z'
loop_
_atom_site_label
_atom_site_type_symbol
_atom_site_fract_x
_atom_site_fract_y
_atom_site_fract_z
_atom_site_occupancy
Cs1 Cs 0.158 0.000 0.280 1
Mo1 Mo 0.000 0.500 0.500 1
I1 I 0.092 0.258 0.744 1
Br1 Br 0.142 0.500 0.301 1
# formation energy (no corrections): -8.03 eV per formula unit

Record 2
# Ca2SmHoTe4 | Alexandria via LeMat-Bulk | PBE-GGA | optimized geometry
data_Ca2SmHoTe4
_chemical_formula_sum 'Ca2 Sm1 Ho1 Te4'
_symmetry_space_group_name_H-M 'P 1 2/m 1'
_symmetry_Int_Tables_number 10
_cell_length_a 7.635
_cell_length_b 4.407
_cell_length_c 7.796
_cell_angle_alpha 90.00
_cell_angle_beta 109.09
_cell_angle_gamma 90.00
loop_
_symmetry_equiv_pos_as_xyz
'x,y,z'
'-x,-y,-z'
'-x,y,-z'
'x,-y,z'
loop_
_atom_site_label
_atom_site_type_symbol
_atom_site_fract_x
_atom_site_fract_y
_atom_site_fract_z
_atom_site_occupancy
Ca1 Ca 0.000 0.000 0.000 1
Ca2 Ca 0.500 0.500 0.000 1
Sm1 Sm 0.000 0.500 0.500 1
Ho1 Ho 0.500 0.000 0.500 1
Te1 Te 0.255 0.000 0.749 1
Te2 Te 0.256 0.500 0.254 1
# formation energy (no corrections): -11.73 eV per formula unit

Record 3
# Ca2TcAs | Alexandria via LeMat-Bulk | PBE-GGA | optimized geometry
data_Ca2TcAs
_chemical_formula_sum 'Ca8 Tc4 As4'
_symmetry_space_group_name_H-M 'I -4 2 d'
_symmetry_Int_Tables_number 122
_symmetry_space_group_name_Hall 'I -4 2bw'
_cell_length_a 8.068
_cell_length_b 8.068
_cell_length_c 5.718
_cell_angle_alpha 90.00
_cell_angle_beta 90.00
_cell_angle_gamma 90.00
loop_
_atom_site_label
_atom_site_type_symbol
_atom_site_fract_x
_atom_site_fract_y
_atom_site_fract_z
_atom_site_occupancy
Ca1 Ca 0.238 0.250 0.125 1
Tc1 Tc 0.000 0.000 0.500 1
As1 As 0.000 0.000 0.000 1
# formation energy from the elements: 0.333 eV/atom

| no. | total energy (eV per atom) |
| --- | --- |
| 1 | -3.346 |
| 2 | -4.699 |
| 3 | -4.421 |